(1)
# LiCr2Br (PBE, optimized geometry)
# formation energy from raw total energies	0.04	eV/atom
# crystal system	tetragonal
# DFT total energy	-0.4167	Ry per atom
# DOS(E_F)	0.3097	states/eV/atom
# offset from the most stable computed form	29	meV per atom
# magnetic moment	0.001	μB per atom
data_LiCr2Br
_chemical_formula_sum 'Li1 Cr2 Br1'
_cell_length_a 3.3015
_cell_length_b 3.3015
_cell_length_c 6.9993
_cell_angle_alpha 90.00
_cell_angle_beta 90.00
_cell_angle_gamma 90.00
_symmetry_space_group_name_H-M 'P 4 m m'
_symmetry_Int_Tables_number 99
loop_
_symmetry_equiv_pos_as_xyz
'x,y,z'
'-y,x,z'
'-x,-y,z'
'y,-x,z'
'-x,y,z'
'y,x,z'
'x,-y,z'
'-y,-x,z'
loop_
_atom_site_label
_atom_site_fract_x
_atom_site_fract_y
_atom_site_fract_z
Li1 0.0000 0.0000 0.0000
Cr1 0.0000 0.0000 0.5883
Cr2 0.5000 0.5000 0.7385
Br1 0.5000 0.5000 0.1291

---

(2)
# LiCr2Br (PBE, optimized geometry)
# formation energy from raw total energies	0.51	eV/atom
# crystal system	tetragonal
# DFT total energy	-0.3824	Ry per atom
# DOS(E_F)	0.3405	states/eV/atom
# offset from the most stable computed form	496	meV per atom
# magnetic moment	0.081	μB per atom
data_LiCr2Br
_chemical_formula_sum 'Li2 Cr4 Br2'
_cell_length_a 4.6919
_cell_length_b 4.6919
_cell_length_c 6.6662
_cell_angle_alpha 90.00
_cell_angle_beta 90.00
_cell_angle_gamma 90.00
_symmetry_space_group_name_H-M 'I -4 m 2'
_symmetry_Int_Tables_number 119
_symmetry_space_group_name_Hall 'I -4 -2'
loop_
_atom_site_label
_atom_site_fract_x
_atom_site_fract_y
_atom_site_fract_z
Li1 0.0000 0.0000 0.0000
Cr1 0.0000 0.0000 0.5000
Cr2 0.0000 0.5000 0.2500
Br1 0.0000 0.5000 0.7500

---

(3)
# LiCr2Br (PBE, optimized geometry)
# formation energy from raw total energies	0.66	eV/atom
# crystal system	orthorhombic
# DFT total energy	-0.3713	Ry per atom
# DOS(E_F)	0.7583	states/eV/atom
# offset from the most stable computed form	647	meV per atom
# magnetic moment	2.306	μB per atom
data_LiCr2Br
_chemical_formula_sum 'Li2 Cr4 Br2'
_cell_length_a 3.4728
_cell_length_b 5.6025
_cell_length_c 8.8027
_cell_angle_alpha 90.00
_cell_angle_beta 90.00
_cell_angle_gamma 90.00
_symmetry_space_group_name_H-M 'C m m m'
_symmetry_Int_Tables_number 65
_symmetry_space_group_name_Hall '-C 2 2'
loop_
_atom_site_label
_atom_site_fract_x
_atom_site_fract_y
_atom_site_fract_z
Li1 0.0000 0.0000 0.0000
Cr1 0.0000 0.5000 0.2592
Br1 0.0000 0.0000 0.5000

---

(4)
# LiCrBr2 (PBE, optimized geometry)
# formation energy from raw total energies	-0.46	eV/atom
# crystal system	tetragonal
# DFT total energy	-0.3069	Ry per atom
# DOS(E_F)	0.2642	states/eV/atom
# offset from the most stable computed form	225	meV per atom
# magnetic moment	1.250	μB per atom
data_LiCrBr2
_chemical_formula_sum 'Li1 Cr1 Br2'
_cell_length_a 4.9911
_cell_length_b 4.9911
_cell_length_c 3.5093
_cell_angle_alpha 90.00
_cell_angle_beta 90.00
_cell_angle_gamma 90.00
_symmetry_space_group_name_H-M 'P 4/m m m'
_symmetry_Int_Tables_number 123
_symmetry_space_group_name_Hall '-P 4 2'
loop_
_atom_site_label
_atom_site_fract_x
_atom_site_fract_y
_atom_site_fract_z
Li1 0.0000 0.0000 0.0000
Cr1 0.5000 0.5000 0.0000
Br1 0.0000 0.5000 0.5000